(1)
Density functional theory data (PBE) for crystalline KMo2Pd at its relaxed geometry.

abc: 3.9472 3.9472 11.0250
angles: 79.69 79.69 90.00
Last column: nearest neighbours and their distance in Å.
Element x y z (fractional)
Mo: 0.3750 0.3040 0.7500  2 Mo 2.43
K: 0.2500 0.7500 0.5000  4 Pd 2.79, 4 Mo 3.11
Mo: 0.8750 0.9460 0.7500  2 Mo 2.43
Pd: 0.0000 0.0000 0.0000  4 K 2.79, 4 Mo 2.93
K: 0.5000 0.5000 0.0000  4 Pd 2.79, 4 Mo 3.11
Mo: 0.6960 0.1250 0.2500  2 Mo 2.43
Mo: 0.0540 0.6250 0.2500  2 Mo 2.43
Pd: 0.7500 0.2500 0.5000  4 K 2.79, 4 Mo 2.93

## Properties
Space-group type: I-42d, No. 122
Relative energy among the computed polymorphs, eV per atom: 0.000
Electronic total energy, hartree per atom: -0.2107
M_tot, μB/f.u.: 0.000
Calculated density, kg/m³: 6743
Volume, Å³ per cell: 166.2


(2)
Density functional theory data (PBE) for crystalline KSi2MoPd at its relaxed geometry.

abc: 4.9770 4.6205 4.9770
angles: 90.00 90.00 90.00
Last column: nearest neighbours and their distance in Å.
Element x y z (fractional)
Mo: 0.5000 0.5000 0.5000  8 Si 3.40, 4 Pd 3.52
Pd: 0.0000 0.5000 0.0000  2 K 2.31
Si: 0.5000 0.0000 0.0000  2 K 2.49
Si: 0.0000 0.0000 0.5000  2 K 2.49
K: 0.0000 0.0000 0.0000  2 Pd 2.31, 4 Si 2.49

## Properties
Space-group type: P4/mmm, No. 123
Electronic total energy, hartree per atom: -0.1136
M_tot, μB/f.u.: 0.006
Raw formation energy, meV per atom: 2502.8
Calculated density, kg/m³: 4318
Volume, Å³ per cell: 114.5


(3)
Density functional theory data (PBE) for crystalline K2TeMoPd at its relaxed geometry.

abc: 6.5285 4.7967 6.5285
angles: 90.00 90.00 90.00
Last column: nearest neighbours and their distance in Å.
Element x y z (fractional)
Pd: 0.0000 0.5000 0.0000  2 Mo 2.40
K: 0.0000 0.0000 0.5000  2 Mo 3.26
Mo: 0.0000 0.0000 0.0000  2 Pd 2.40
Te: 0.5000 0.5000 0.5000  8 K 4.05
K: 0.5000 0.0000 0.0000  2 Mo 3.26

## Properties
Space-group type: P4/mmm, No. 123
Electronic total energy, hartree per atom: -0.1249
M_tot, μB/f.u.: 4.408
Raw formation energy, meV per atom: 873.8
Calculated density, kg/m³: 3315
Volume, Å³ per cell: 204.4


(4)
Density functional theory data (PBE) for crystalline KZrMo2Pd at its relaxed geometry.

abc: 4.9113 5.3064 4.9113
angles: 90.00 90.00 90.00
Last column: nearest neighbours and their distance in Å.
Element x y z (fractional)
Pd: 0.0000 0.5000 0.0000  2 Zr 2.65
Mo: 0.0000 0.0000 0.5000  2 Zr 2.46
Mo: 0.5000 0.0000 0.0000  2 Zr 2.46
K: 0.5000 0.5000 0.5000  4 Pd 3.47, 8 Mo 3.62
Zr: 0.0000 0.0000 0.0000  4 Mo 2.46, 2 Pd 2.65

## Properties
Space-group type: P4/mmm, No. 123
Electronic total energy, hartree per atom: -0.2110
M_tot, μB/f.u.: 0.004
Calculated density, kg/m³: 5561
Volume, Å³ per cell: 128.0


(5)
Density functional theory data (PBE) for crystalline K3Pr3MoS8 at its relaxed geometry.

abc: 8.1542 8.1546 8.8752
angles: 117.35 90.00 120.00
Last column: nearest neighbours and their distance in Å.
Element x y z (fractional)
Pr: 0.5000 0.0000 0.5000  6 S 2.84-2.88
Pr: 0.0000 0.5000 0.5000  6 S 2.84-2.88
S: 0.2326 0.0211 0.3096  1 Mo 2.53
K: 0.0000 0.5000 0.0000  6 S 3.20-3.23
K: 0.0000 0.0000 0.0000  6 S 3.20-3.23
S: 0.2116 0.4232 0.6904  1 Mo 2.54
K: 0.5000 0.5000 0.0000  6 S 3.20-3.23
Pr: 0.5000 0.5000 0.5000  6 S 2.84-2.88
Mo: 0.0000 0.0000 0.5000  6 S 2.53-2.54
S: 0.7372 0.4745 0.7117  3 Pr 2.84
S: 0.7885 0.0211 0.3096  1 Mo 2.53
S: 0.2115 0.9789 0.6904  1 Mo 2.53
S: 0.7884 0.5768 0.3096  1 Mo 2.54
S: 0.7674 0.9789 0.6904  1 Mo 2.53
S: 0.2628 0.5255 0.2883  3 Pr 2.84

## Properties
Space-group type: R-3m, No. 166
Electronic total energy, hartree per atom: -0.2055
M_tot, μB/f.u.: 2.000
Raw formation energy, meV per atom: -1492.7
Calculated density, kg/m³: 3421
Volume, Å³ per cell: 433.2


(6)
Density functional theory data (PBE) for crystalline K2MoPt at its relaxed geometry.

abc: 6.5211 6.5211 2.8440
angles: 78.91 78.91 128.19
Last column: nearest neighbours and their distance in Å.
Element x y z (fractional)
K: 0.0000 0.0000 0.0000  6 K 2.84-3.01
Mo: 0.5000 0.0000 0.5000  2 Mo 2.84, 4 Pt 2.85-3.01
K: 0.5000 0.5000 0.0000  6 K 2.84-3.01
Pt: 0.0000 0.5000 0.5000  2 Pt 2.84, 4 Mo 2.85-3.01

## Properties
Space-group type: C2/m, No. 12
Relative energy among the computed polymorphs, eV per atom: 0.468
Electronic total energy, hartree per atom: -0.1412
M_tot, μB/f.u.: 0.000
Calculated density, kg/m³: 7184
Volume, Å³ per cell: 85.3


(7)
Density functional theory data (PBE) for crystalline KMoPt2 at its relaxed geometry.

abc: 3.2704 3.2704 8.1704
angles: 90.00 90.00 90.00
Last column: nearest neighbours and their distance in Å.
Element x y z (fractional)
K: 0.0000 0.0000 0.4802  4 K 3.27, 4 Pt 3.35
Pt: 0.0000 0.0000 0.9901  4 Mo 2.59, 4 Pt 2.80
Pt: 0.5000 0.5000 0.1833  1 Mo 2.75, 4 Pt 2.80
Mo: 0.5000 0.5000 0.8465  5 Pt 2.59-2.75

## Properties
Space-group type: P4mm, No. 99
Relative energy among the computed polymorphs, eV per atom: 0.492
Electronic total energy, hartree per atom: -0.2031
M_tot, μB/f.u.: 0.545
Calculated density, kg/m³: 9980
Volume, Å³ per cell: 87.4


(8)
Density functional theory data (PBE) for crystalline KMo2Pt2 at its relaxed geometry.

abc: 8.2340 8.2340 2.7237
angles: 90.00 90.00 90.00
Last column: nearest neighbours and their distance in Å.
Element x y z (fractional)
Pt: 0.1724 0.6724 0.5000  2 Pt 2.72, 6 Mo 2.76-2.84
Mo: 0.8862 0.6138 0.0000  3 Mo 2.65-2.72, 6 Pt 2.76-2.84
Mo: 0.6138 0.1138 0.0000  3 Mo 2.65-2.72, 6 Pt 2.76-2.84
Pt: 0.6724 0.8276 0.5000  2 Pt 2.72, 6 Mo 2.76-2.84
Pt: 0.3276 0.1724 0.5000  2 Pt 2.72, 6 Mo 2.76-2.84
K: 0.0000 0.0000 0.0000  2 K 2.72
K: 0.5000 0.5000 0.0000  2 K 2.72
Pt: 0.8276 0.3276 0.5000  2 Pt 2.72, 6 Mo 2.76-2.84
Mo: 0.3862 0.8862 0.0000  3 Mo 2.65-2.72, 6 Pt 2.76-2.84
Mo: 0.1138 0.3862 0.0000  3 Mo 2.65-2.72, 6 Pt 2.76-2.84

## Properties
Space-group type: P4/mbm, No. 127
Relative energy among the computed polymorphs, eV per atom: 0.000
Electronic total energy, hartree per atom: -0.2523
M_tot, μB/f.u.: 0.000
Calculated density, kg/m³: 11171
Volume, Å³ per cell: 184.7


(9)
Density functional theory data (PBE) for crystalline KMoPt2 at its relaxed geometry.

abc: 2.7960 2.7960 9.8600
angles: 90.00 90.00 90.00
Last column: nearest neighbours and their distance in Å.
Element x y z (fractional)
Pt: 0.0000 0.0000 0.0016  4 Mo 2.73, 8 Pt 2.80-2.88
K: 0.0000 0.0000 0.4735  4 K 2.80
Mo: 0.5000 0.5000 0.8105  4 Pt 2.73, 4 Mo 2.80
Pt: 0.5000 0.5000 0.2144  8 Pt 2.80-2.88

## Properties
Space-group type: P4mm, No. 99
Relative energy among the computed polymorphs, eV per atom: 0.385
Electronic total energy, hartree per atom: -0.2071
M_tot, μB/f.u.: 0.000
Calculated density, kg/m³: 11314
Volume, Å³ per cell: 77.1


(10)
Density functional theory data (PBE) for crystalline K2MoPt at its relaxed geometry.

abc: 2.8223 2.8223 11.3329
angles: 90.00 90.00 90.00
Last column: nearest neighbours and their distance in Å.
Element x y z (fractional)
K: 0.0000 0.0000 0.5229  4 K 2.82
K: 0.0000 0.0000 0.9771  4 K 2.82
Pt: 0.5000 0.5000 0.7500  4 Pt 2.82
Mo: 0.5000 0.5000 0.2500  4 Mo 2.82

## Properties
Space-group type: P4/mmm, No. 123
Relative energy among the computed polymorphs, eV per atom: 0.449
Electronic total energy, hartree per atom: -0.1419
M_tot, μB/f.u.: 0.760
Calculated density, kg/m³: 6792
Volume, Å³ per cell: 90.3


(11)
Density functional theory data (PBE) for crystalline K2MoPt at its relaxed geometry.

abc: 2.8793 4.1030 10.2859
angles: 90.00 90.00 90.00
Last column: nearest neighbours and their distance in Å.
Element x y z (fractional)
Mo: 0.0000 0.0000 0.5877  4 Pt 2.65, 2 Mo 2.88
K: 0.0000 0.0000 0.9102  2 K 2.88
K: 0.5000 0.5000 0.3305  2 K 2.88
Pt: 0.5000 0.5000 0.6716  4 Mo 2.65, 2 Pt 2.88

## Properties
Space-group type: Pmm2, No. 25
Relative energy among the computed polymorphs, eV per atom: 0.000
Electronic total energy, hartree per atom: -0.1584
M_tot, μB/f.u.: 0.002
Calculated density, kg/m³: 5046
Volume, Å³ per cell: 121.5


(12)
Density functional theory data (PBE) for crystalline KMoPt2 at its relaxed geometry.

abc: 7.6577 7.6577 6.4710
angles: 53.72 53.72 90.00
Last column: nearest neighbours and their distance in Å.
Element x y z (fractional)
Mo: 0.7500 0.2500 0.5000  4 Pt 2.45
K: 0.5000 0.5000 0.0000  8 Pt 3.34-3.50, 2 Mo 3.54
Pt: 0.3750 0.2875 0.7500  2 Mo 2.45
K: 0.2500 0.7500 0.5000  8 Pt 3.34-3.50, 2 Mo 3.54
Pt: 0.8750 0.9625 0.7500  2 Mo 2.45
Pt: 0.7125 0.1250 0.2500  2 Mo 2.45
Pt: 0.0375 0.6250 0.2500  2 Mo 2.45
Mo: 0.0000 0.0000 0.0000  4 Pt 2.45

## Properties
Space-group type: I-42d, No. 122
Relative energy among the computed polymorphs, eV per atom: 0.652
Electronic total energy, hartree per atom: -0.1972
M_tot, μB/f.u.: 1.692
Calculated density, kg/m³: 8395
Volume, Å³ per cell: 207.8


(13)
Density functional theory data (PBE) for crystalline KMoPt2 at its relaxed geometry.

abc: 2.7424 4.2052 7.4858
angles: 90.00 90.00 90.00
Last column: nearest neighbours and their distance in Å.
Element x y z (fractional)
Mo: 0.5000 0.5000 0.8520  5 Pt 2.51-2.69, 2 Mo 2.74
Pt: 0.0000 0.0000 0.9814  4 Mo 2.69, 6 Pt 2.74-2.95
K: 0.0000 0.0000 0.4790  2 K 2.74
Pt: 0.5000 0.5000 0.1875  1 Mo 2.51, 2 Pt 2.74

## Properties
Space-group type: Pmm2, No. 25
Relative energy among the computed polymorphs, eV per atom: 0.331
Electronic total energy, hartree per atom: -0.2090
M_tot, μB/f.u.: 0.000
Calculated density, kg/m³: 10102
Volume, Å³ per cell: 86.3


(14)
Density functional theory data (PBE) for crystalline KMo3Pt at its relaxed geometry.

abc: 4.4291 4.4291 4.4291
angles: 90.00 90.00 90.00
Last column: nearest neighbours and their distance in Å.
Element x y z (fractional)
K: 0.0000 0.0000 0.0000  6 Mo 2.21
Pt: 0.5000 0.5000 0.5000  12 Mo 3.13
Mo: 0.5000 0.0000 0.0000  2 K 2.21
Mo: 0.0000 0.5000 0.0000  2 K 2.21
Mo: 0.0000 0.0000 0.5000  2 K 2.21

## Properties
Space-group type: Pm-3m, No. 221
Relative energy among the computed polymorphs, eV per atom: 1.070
Electronic total energy, hartree per atom: -0.1858
M_tot, μB/f.u.: 0.000
Calculated density, kg/m³: 9976
Volume, Å³ per cell: 86.9